[1]
Mg3CuF, relaxed, DFT PBE-GGA; SG = No. 221; DFT total energy = -2.456 eV/atom; energy above the lowest structure with this stoichiometry = 400 meV/atom; energy relative to the elements, uncorrected = -0.305 eV/atom
1.0
4.8762 0.0000 0.0000
0.0000 4.8762 0.0000
0.0000 0.0000 4.8762
Cu Mg F
1 3 1
Direct
0.0000 0.0000 0.0000 Cu
0.0000 0.5000 0.0000 Mg
0.0000 0.0000 0.5000 Mg
0.5000 0.0000 0.0000 Mg
0.5000 0.5000 0.5000 F

[2]
MgCuF4, relaxed, DFT PBE-GGA; SG = No. 140; DFT total energy = -4.638 eV/atom; energy above the lowest structure with this stoichiometry = 0 meV/atom; energy relative to the elements, uncorrected = -2.442 eV/atom
1.0
6.1788 -0.0021 0.0000
1.9775 5.8538 0.0000
-4.0782 -2.9259 3.6035
F Mg Cu
8 2 2
Direct
0.3250 0.4445 0.5000 F
0.5555 0.0555 0.8805 F
0.8250 0.3250 0.8805 F
0.4445 0.9445 0.1195 F
0.6750 0.5555 0.5000 F
0.0555 0.1750 0.5000 F
0.1750 0.6750 0.1195 F
0.9445 0.8250 0.5000 F
0.2500 0.2500 0.0000 Mg
0.7500 0.7500 0.0000 Mg
0.5000 0.0000 0.5000 Cu
0.0000 0.5000 0.5000 Cu